# 1
Density functional theory data (SCAN) for AlPb3 at its PBEsol-relaxed geometry.

The structure in POSCAR format:
```
AlPb3
1.0
-1.385 0.286 -3.268
-4.746 -2.112 1.826
-1.791 5.066 1.203
Pb Al
3 1
Cartesian
-3.269 1.477 1.515
-1.588 2.676 -1.032
-3.065 -0.913 -0.721
0.000 0.000 0.000
```

Computed properties:
space-group type	P4/mmm (123)
formation energy	21.3	kJ/mol of atoms
density of states at the Fermi level	1.99	states/eV per cell

=====

# 2
Density functional theory data (SCAN) for AlPb2 at its PBEsol-relaxed geometry.

The structure in POSCAR format:
```
AlPb2
1.0
-0.141 0.754 -3.279
-2.806 0.048 1.861
1.272 7.715 1.718
Pb Al
2 1
Cartesian
-0.144 5.887 -0.370
-1.531 2.630 0.670
0.000 0.000 0.000
```

Computed properties:
space-group type	P-3m1 (164)
formation energy	16.1	kJ/mol of atoms
density of states at the Fermi level	1.37	states/eV per cell

=====

no.,volume (Å³/cell),calculated density (g/cm³)
1,108,9.98
2,79,9.32